First-principles (PBE) data for an optimized crystal structure of CoBTeN2, as listed in Alexandria via LeMat-Bulk.

Crystal system: tetragonal
Density of states at the Fermi level: 4.128 states/eV per cell
Calculated total energy: -5.30 eV per atom
ΔE to the lowest computed polymorph: 0.229 eV/f.u.
Magnetic moment: 0.270 μB/cell

a b c (Å): 3.4459 3.4459 7.8388
angles (deg): 90.00 90.00 90.00
Last column: magnetic moment on the atom in μB.
Fractional coordinates of all 5 atoms:
B (0.5000, 0.5000, 0.5000)  0.00
Te (0.0000, 0.0000, 0.5000)  0.00
Co (0.0000, 0.0000, 0.0000)  0.16
N (0.0000, 0.5000, 0.0000)  0.04
N (0.5000, 0.0000, 0.0000)  0.04